Entry 1:
VASP calculation (GGA-PBE) on a geometry-optimized BeFeH structure.

a = 4.4134 Å, b = 4.4134 Å, c = 4.5643 Å
α = 120.99°, β = 120.99°, γ = 33.60°
Last column: nearest neighbours and their distance in Å.
Fractional coordinates of all 6 atoms:
Be 0.0000 0.0000 0.0000  1 H 1.68
Be 0.5046 0.5046 0.4069  2 H 1.65
Fe 0.2384 0.2384 0.8774  2 H 1.65-1.68
Fe 0.7580 0.7580 0.3671  3 H 1.69-1.74
H 0.0025 0.0025 0.6341  3 Be 1.65-1.68, 2 Fe 1.68-1.74
H 0.3404 0.3404 0.6533  3 Fe 1.65-1.69

**Energy relative to the lowest polymorph listed for this composition**: 83.7 meV/atom

Entry 2:
VASP calculation (GGA-PBE) on a geometry-optimized YEr4Mg structure.

a = 3.5278 Å, b = 3.5278 Å, c = 14.3196 Å
α = 90.00°, β = 90.00°, γ = 90.00°
Last column: nearest neighbours and their distance in Å.
Fractional coordinates of all 6 atoms:
Y 0.0000 0.0000 0.0000  4 Y 3.53, 8 Er 3.55
Er 0.0000 0.0000 0.3453  4 Mg 3.34, 8 Er 3.48-3.53
Er 0.0000 0.0000 0.6547  4 Mg 3.34, 8 Er 3.48-3.53
Er 0.5000 0.5000 0.1759  8 Er 3.48-3.53, 4 Y 3.55
Er 0.5000 0.5000 0.8241  8 Er 3.48-3.53, 4 Y 3.55
Mg 0.5000 0.5000 0.5000  8 Er 3.34, 4 Mg 3.53

**ΔE_f**: -7 meV per atom
**Energy relative to the lowest polymorph listed for this composition**: 0.0 meV/atom

Entry 3:
VASP calculation (GGA-PBE) on a geometry-optimized MnP2Br structure.

a = 4.5889 Å, b = 4.5889 Å, c = 4.5889 Å
α = 60.00°, β = 60.00°, γ = 60.00°
Last column: nearest neighbours and their distance in Å.
Fractional coordinates of all 4 atoms:
Mn 0.0000 0.0000 0.0000  4 Br 2.81, 4 P 2.81
P 0.5000 0.5000 0.5000  4 Br 2.81, 4 P 2.81
P 0.7500 0.7500 0.7500  4 Mn 2.81, 4 P 2.81
Br 0.2500 0.2500 0.2500  4 Mn 2.81, 4 P 2.81

**Raw formation energy**: 0.715 eV per atom
**Energy relative to the lowest polymorph listed for this composition**: 783.6 meV/atom

Entry 4:
VASP calculation (GGA-PBE) on a geometry-optimized CoNiSb2 structure.

a = 3.5094 Å, b = 3.8858 Å, c = 5.1806 Å
α = 90.00°, β = 109.76°, γ = 90.00°
Last column: nearest neighbours and their distance in Å.
Fractional coordinates of all 4 atoms:
Co 0.0000 0.0000 0.0000  2 Ni 2.55, 7 Sb 2.67-2.80
Ni 0.1733 0.5000 0.3397  2 Co 2.55, 7 Sb 2.66-2.83
Sb 0.4443 0.5000 0.8859  3 Ni 2.66-2.83, 4 Co 2.67-2.68
Sb 0.7251 0.0000 0.4458  4 Ni 2.67, 3 Co 2.70-2.80

**Raw formation energy**: -0.049 eV per atom

Per-record density of states at the Fermi level, states/eV/cell: 4.09, 8.81, 3.21, 2.78
Per-record E_tot, eV for the cell shown: -31.1, -26.4, -18.8, -21.3